Compound: BeFeSi2
Source: the Alexandria database
Functional: PBE
Structure: relaxed

Geometry as extended XYZ:
```
4
Lattice="-1.6195 -0.9499 -3.5793 -1.4704 -3.1915 -1.9972 -4.1371 0.4513 1.0293" Properties=species:S:1:pos:R:3 pbc="T T T"
Be -5.4203 -2.7675 -3.4104
Si -3.0992 -4.1050 -5.5242
Si -3.6042 -1.8813 -2.3260
Fe -1.8068 -0.9225 -1.1368
```

Summary:
calculated total energy: -5.818 eV per atom
E_form (uncorrected): -59 meV per atom
calculated volume: 44 Å³/cell